DFT (GGA-PBE) results for an optimized crystal structure of Li3Ac2InAg12.

POSCAR file:
```
Li3Ac2InAg12
1.0
-4.5929 8.3855 -5.6716
-9.5889 4.7709 -2.9783
-6.2085 9.1856 0.8114
Ag Li In Ac
12 3 1 2
direct
0.5789 0.1140 0.1140 Ag
0.8154 0.4055 0.4055 Ag
0.1140 0.1140 0.5789 Ag
0.1140 0.5789 0.1140 Ag
0.4055 0.8154 0.4055 Ag
0.1846 0.5945 0.5945 Ag
0.5945 0.1846 0.5945 Ag
0.4211 0.8860 0.8860 Ag
0.8860 0.4211 0.8860 Ag
0.4055 0.4055 0.8154 Ag
0.5945 0.5945 0.1846 Ag
0.8860 0.8860 0.4211 Ag
0.5000 0.0000 0.0000 Li
0.0000 0.0000 0.5000 Li
0.0000 0.5000 0.0000 Li
0.0000 0.0000 0.0000 In
0.6389 0.6389 0.6389 Ac
0.3611 0.3611 0.3611 Ac
```

Values from the calculation:
- SG = R-3m
- uncorrected energy (eV per formula unit) = -51.2

=====

DFT (GGA-PBE) results for an optimized crystal structure of Li2AcIn4Ag.

POSCAR file:
```
Li2AcIn4Ag
1.0
4.7680 0.0000 0.0000
2.3840 4.1292 0.0000
2.3840 1.3764 9.8776
Li Ag Ac In
2 1 1 4
direct
0.7701 0.7701 0.6898 Li
0.2299 0.2299 0.3102 Li
0.5000 0.5000 0.5000 Ag
0.0000 0.0000 0.0000 Ac
0.8767 0.8767 0.3698 In
0.4023 0.4023 0.7930 In
0.1233 0.1233 0.6302 In
0.5977 0.5977 0.2070 In
```

Values from the calculation:
- SG = R-3m
- uncorrected energy (eV per formula unit) = -24.0

=====

DFT (GGA-PBE) results for an optimized crystal structure of Li2AcInAg.

POSCAR file:
```
Li2AcInAg
1.0
4.4532 0.0000 0.0000
0.0000 4.4885 0.0000
-2.2266 -2.2443 6.1887
Ag Li Ac In
1 2 1 1
direct
0.8366 0.8366 0.6731 Ag
0.0549 0.0549 0.1099 Li
0.6997 0.1997 0.3995 Li
0.4358 0.4358 0.8715 Ac
0.1852 0.6852 0.3703 In
```

Values from the calculation:
- SG = Imm2
- uncorrected energy (eV per formula unit) = -14.6